# Li12MgAg2 PBE optimized geometry
data_Li12MgAg2
_cell_length_a 5.752
_cell_length_b 10.314
_cell_length_c 19.099
_cell_angle_alpha 90.00
_cell_angle_beta 90.00
_cell_angle_gamma 90.00
_space_group_name_H-M_alt 'C m m e'
_space_group_IT_number 67
_space_group_name_Hall '-C 2a 2'
loop_
_atom_site_label
_atom_site_type_symbol
_atom_site_fract_x
_atom_site_fract_y
_atom_site_fract_z
Li1 Li 0.000 0.000 0.077
Li2 Li 0.000 0.121 0.500
Li3 Li 0.250 0.000 0.223
Li4 Li 0.250 0.000 0.363
Li5 Li 0.250 0.250 0.141
Li6 Li 0.250 0.250 0.384
Mg1 Mg 0.000 0.250 0.001
Ag1 Ag 0.000 0.250 0.265
Ag2 Ag 0.000 0.250 0.735
# V (Å³/atom): 18.883
# Theoretical density (g cm⁻³): 1.90
# E_tot (eV per atom): -2.038

# RbScTe4 PBE optimized geometry
data_RbScTe4
_cell_length_a 6.703
_cell_length_b 6.703
_cell_length_c 9.131
_cell_angle_alpha 90.00
_cell_angle_beta 90.00
_cell_angle_gamma 90.00
_space_group_name_H-M_alt 'P 4/n b m'
_space_group_IT_number 125
loop_
_space_group_symop_operation_xyz
'x,y,z'
'-x,-y,-z'
'-y+1/2,x,z'
'y+1/2,-x,-z'
'-x+1/2,-y+1/2,z'
'x+1/2,y+1/2,-z'
'y,-x+1/2,z'
'-y,x+1/2,-z'
'x,-y+1/2,-z'
'-x,y+1/2,z'
'-y+1/2,-x+1/2,-z'
'y+1/2,x+1/2,z'
'-x+1/2,y,-z'
'x+1/2,-y,z'
'y,x,-z'
'-y,-x,z'
loop_
_atom_site_label
_atom_site_type_symbol
_atom_site_fract_x
_atom_site_fract_y
_atom_site_fract_z
Rb1 Rb 0.250 0.250 0.000
Sc1 Sc 0.250 0.250 0.500
Te1 Te 0.100 0.600 0.310
# V (Å³/atom): 34.192
# Theoretical density (g cm⁻³): 5.19
# E_tot (eV per atom): -4.133

# PrBPdO5 PBE optimized geometry
data_PrBPdO5
_cell_length_a 6.417
_cell_length_b 8.878
_cell_length_c 6.862
_cell_angle_alpha 90.00
_cell_angle_beta 112.32
_cell_angle_gamma 90.00
_space_group_name_H-M_alt 'C 1 2/c 1'
_space_group_IT_number 15
loop_
_space_group_symop_operation_xyz
'x,y,z'
'-x,-y,-z'
'-x,y,-z+1/2'
'x,-y,z+1/2'
'x+1/2,y+1/2,z'
'-x+1/2,-y+1/2,-z'
'-x+1/2,y+1/2,-z+1/2'
'x+1/2,-y+1/2,z+1/2'
loop_
_atom_site_label
_atom_site_type_symbol
_atom_site_fract_x
_atom_site_fract_y
_atom_site_fract_z
Pr1 Pr 0.000 0.145 0.250
B1 B 0.000 0.195 0.750
Pd1 Pd 0.000 0.500 0.000
O1 O 0.000 0.403 0.250
O2 O 0.108 0.284 0.633
O3 O 0.164 0.088 0.919
# V (Å³/atom): 11.301
# Theoretical density (g cm⁻³): 6.21
# E_tot (eV per atom): -7.072

# ErTmHgOs PBE optimized geometry
data_ErTmHgOs
_cell_length_a 7.015
_cell_length_b 7.015
_cell_length_c 7.015
_cell_angle_alpha 90.00
_cell_angle_beta 90.00
_cell_angle_gamma 90.00
_space_group_name_H-M_alt 'F -4 3 m'
_space_group_IT_number 216
_space_group_name_Hall 'F -4 2 3'
loop_
_atom_site_label
_atom_site_type_symbol
_atom_site_fract_x
_atom_site_fract_y
_atom_site_fract_z
Er1 Er 0.000 0.000 0.000
Tm1 Tm 0.000 0.000 0.500
Hg1 Hg 0.250 0.250 0.750
Os1 Os 0.250 0.250 0.250
# V (Å³/atom): 21.574
# Polymorph energy (0 for the lowest one) (eV per atom): 0.1290
# Theoretical density (g cm⁻³): 13.99

# ScTa2Be PBE optimized geometry
data_ScTa2Be
_cell_length_a 3.794
_cell_length_b 4.253
_cell_length_c 8.415
_cell_angle_alpha 90.00
_cell_angle_beta 90.00
_cell_angle_gamma 90.00
_space_group_name_H-M_alt 'I m m 2'
_space_group_IT_number 44
loop_
_space_group_symop_operation_xyz
'x,y,z'
'-x,-y,z'
'-x,y,z'
'x,-y,z'
'x+1/2,y+1/2,z+1/2'
'-x+1/2,-y+1/2,z+1/2'
'-x+1/2,y+1/2,z+1/2'
'x+1/2,-y+1/2,z+1/2'
loop_
_atom_site_label
_atom_site_type_symbol
_atom_site_fract_x
_atom_site_fract_y
_atom_site_fract_z
Sc1 Sc 0.000 0.000 0.000
Ta1 Ta 0.000 0.000 0.537
Ta2 Ta 0.000 0.500 0.765
Be1 Be 0.000 0.500 0.258
# V (Å³/atom): 16.977
# Theoretical density (g cm⁻³): 10.17
# E_tot (eV per atom): -8.208

# RbAsSe2O PBE optimized geometry
data_RbAsSe2O
_cell_length_a 6.788
_cell_length_b 6.788
_cell_length_c 7.386
_cell_angle_alpha 90.00
_cell_angle_beta 90.00
_cell_angle_gamma 90.00
_space_group_name_H-M_alt 'P 4/m m m'
_space_group_IT_number 123
_space_group_name_Hall '-P 4 2'
loop_
_atom_site_label
_atom_site_type_symbol
_atom_site_fract_x
_atom_site_fract_y
_atom_site_fract_z
Rb1 Rb 0.000 0.000 0.000
As1 As 0.000 0.000 0.500
Se1 Se 0.000 0.500 0.000
O1 O 0.500 0.500 0.500
# V (Å³/atom): 68.076
# Polymorph energy (0 for the lowest one) (eV per atom): 1.5084
# Theoretical density (g cm⁻³): 1.63

# Tc2GeBRu PBE optimized geometry
data_Tc2GeBRu
_cell_length_a 4.732
_cell_length_b 4.732
_cell_length_c 3.901
_cell_angle_alpha 90.00
_cell_angle_beta 90.00
_cell_angle_gamma 90.00
_space_group_name_H-M_alt 'P 4/m m m'
_space_group_IT_number 123
_space_group_name_Hall '-P 4 2'
loop_
_atom_site_label
_atom_site_type_symbol
_atom_site_fract_x
_atom_site_fract_y
_atom_site_fract_z
Tc1 Tc 0.000 0.500 0.000
Ge1 Ge 0.000 0.000 0.500
B1 B 0.500 0.500 0.500
Ru1 Ru 0.500 0.500 0.000
# V (Å³/atom): 17.475
# Theoretical density (g cm⁻³): 7.23
# E_tot (eV per atom): -6.823

# CsTlPb PBE optimized geometry
data_CsTlPb
_cell_length_a 5.1578
_cell_length_b 5.1578
_cell_length_c 6.2465
_cell_angle_alpha 90.00
_cell_angle_beta 90.00
_cell_angle_gamma 120.00
_space_group_name_H-M_alt 'P 3 m 1'
_space_group_IT_number 156
loop_
_space_group_symop_operation_xyz
'x,y,z'
'-y,x-y,z'
'-x+y,-x,z'
'-y,-x,z'
'-x+y,y,z'
'x,x-y,z'
loop_
_atom_site_label
_atom_site_type_symbol
_atom_site_fract_x
_atom_site_fract_y
_atom_site_fract_z
Cs1 Cs 0.0000 0.0000 0.0000
Tl1 Tl 0.6667 0.3333 0.4516
Pb1 Pb 0.3333 0.6667 0.5386
# V (Å³/atom): 47.970
# Theoretical density (g cm⁻³): 6.28
# E_tot (eV per atom): -2.402

# Pm2Nd2Y4Sc PBE optimized geometry
data_Pm2Nd2Y4Sc
_cell_length_a 18.739
_cell_length_b 3.615
_cell_length_c 9.608
_cell_angle_alpha 90.00
_cell_angle_beta 115.62
_cell_angle_gamma 90.00
_space_group_name_H-M_alt 'C 1 2/m 1'
_space_group_IT_number 12
loop_
_space_group_symop_operation_xyz
'x,y,z'
'-x,-y,-z'
'-x,y,-z'
'x,-y,z'
'x+1/2,y+1/2,z'
'-x+1/2,-y+1/2,-z'
'-x+1/2,y+1/2,-z'
'x+1/2,-y+1/2,z'
loop_
_atom_site_label
_atom_site_type_symbol
_atom_site_fract_x
_atom_site_fract_y
_atom_site_fract_z
Pm1 Pm 0.163 0.000 0.000
Nd1 Nd 0.148 0.500 0.665
Y1 Y 0.019 0.000 0.326
Y2 Y 0.184 0.500 0.332
Sc1 Sc 0.000 0.500 0.000
# V (Å³/atom): 32.603
# Theoretical density (g cm⁻³): 5.54
# E_tot (eV per atom): -5.670

# NdSmHgIr PBE optimized geometry
data_NdSmHgIr
_cell_length_a 7.318
_cell_length_b 7.318
_cell_length_c 7.318
_cell_angle_alpha 90.00
_cell_angle_beta 90.00
_cell_angle_gamma 90.00
_space_group_name_H-M_alt 'F -4 3 m'
_space_group_IT_number 216
_space_group_name_Hall 'F -4 2 3'
loop_
_atom_site_label
_atom_site_type_symbol
_atom_site_fract_x
_atom_site_fract_y
_atom_site_fract_z
Nd1 Nd 0.000 0.000 0.000
Sm1 Sm 0.000 0.000 0.500
Hg1 Hg 0.250 0.250 0.750
Ir1 Ir 0.250 0.250 0.250
# V (Å³/atom): 24.498
# Polymorph energy (0 for the lowest one) (eV per atom): 0.0000
# Theoretical density (g cm⁻³): 11.65

# Y2Tl9Pb PBE optimized geometry
data_Y2Tl9Pb
_cell_length_a 4.850
_cell_length_b 4.850
_cell_length_c 14.536
_cell_angle_alpha 90.00
_cell_angle_beta 90.00
_cell_angle_gamma 90.00
_space_group_name_H-M_alt 'P 4/m m m'
_space_group_IT_number 123
_space_group_name_Hall '-P 4 2'
loop_
_atom_site_label
_atom_site_type_symbol
_atom_site_fract_x
_atom_site_fract_y
_atom_site_fract_z
Y1 Y 0.000 0.000 0.156
Tl1 Tl 0.000 0.500 0.000
Tl2 Tl 0.000 0.500 0.327
Tl3 Tl 0.500 0.500 0.164
Tl4 Tl 0.500 0.500 0.500
Pb1 Pb 0.000 0.000 0.500
# V (Å³/atom): 28.496
# Theoretical density (g cm⁻³): 10.80
# E_tot (eV per atom): -3.281

# Cr2SiAg PBE optimized geometry
data_Cr2SiAg
_cell_length_a 2.7848
_cell_length_b 2.7848
_cell_length_c 25.1017
_cell_angle_alpha 90.00
_cell_angle_beta 90.00
_cell_angle_gamma 120.00
_space_group_name_H-M_alt 'R 3 m'
_space_group_IT_number 160
_space_group_name_Hall 'R 3 -2"'
loop_
_atom_site_label
_atom_site_type_symbol
_atom_site_fract_x
_atom_site_fract_y
_atom_site_fract_z
Cr1 Cr 0.0000 0.0000 0.0000
Cr2 Cr 0.0000 0.0000 0.2645
Si1 Si 0.0000 0.0000 0.5214
Ag1 Ag 0.0000 0.0000 0.7619
# V (Å³/atom): 14.049
# Theoretical density (g cm⁻³): 7.09
# E_tot (eV per atom): -6.576

# BaUCrN4 PBE optimized geometry
data_BaUCrN4
_cell_length_a 5.751
_cell_length_b 5.584
_cell_length_c 7.476
_cell_angle_alpha 90.00
_cell_angle_beta 107.67
_cell_angle_gamma 90.00
_space_group_name_H-M_alt 'P 1 21/m 1'
_space_group_IT_number 11
loop_
_space_group_symop_operation_xyz
'x,y,z'
'-x,-y,-z'
'-x,y+1/2,-z'
'x,-y+1/2,z'
loop_
_atom_site_label
_atom_site_type_symbol
_atom_site_fract_x
_atom_site_fract_y
_atom_site_fract_z
Ba1 Ba 0.209 0.250 0.423
U1 U 0.275 0.250 0.949
Cr1 Cr 0.266 0.750 0.166
N1 N 0.055 0.750 0.944
N2 N 0.058 0.750 0.304
N3 N 0.470 0.507 0.185
# V (Å³/atom): 16.337
# Theoretical density (g cm⁻³): 7.02
# E_tot (eV per atom): -8.911

# TaGeOF2 PBE optimized geometry
data_TaGeOF2
_cell_length_a 4.131
_cell_length_b 4.131
_cell_length_c 4.370
_cell_angle_alpha 90.00
_cell_angle_beta 90.00
_cell_angle_gamma 90.00
_space_group_name_H-M_alt 'P 4/m m m'
_space_group_IT_number 123
_space_group_name_Hall '-P 4 2'
loop_
_atom_site_label
_atom_site_type_symbol
_atom_site_fract_x
_atom_site_fract_y
_atom_site_fract_z
Ta1 Ta 0.000 0.000 0.000
Ge1 Ge 0.500 0.500 0.500
O1 O 0.500 0.500 0.000
F1 F 0.000 0.500 0.500
# V (Å³/atom): 14.914
# Polymorph energy (0 for the lowest one) (eV per atom): 1.1466
# Theoretical density (g cm⁻³): 6.85

# LiMnW2 PBE optimized geometry
data_LiMnW2
_cell_length_a 2.7369
_cell_length_b 2.7369
_cell_length_c 27.6585
_cell_angle_alpha 90.00
_cell_angle_beta 90.00
_cell_angle_gamma 120.00
_space_group_name_H-M_alt 'R -3 m'
_space_group_IT_number 166
_space_group_name_Hall '-R 3 2"'
loop_
_atom_site_label
_atom_site_type_symbol
_atom_site_fract_x
_atom_site_fract_y
_atom_site_fract_z
Li1 Li 0.0000 0.0000 0.0000
Mn1 Mn 0.0000 0.0000 0.5000
W1 W 0.0000 0.0000 0.2425
# V (Å³/atom): 14.952
# Polymorph energy (0 for the lowest one) (eV per atom): 0.1194
# Theoretical density (g cm⁻³): 11.93

Number 1: Fermi-level density of states 23.32 states/eV per cell, total magnetization 0.0 μB/f.u.. Number 2: Fermi-level density of states 1.45 states/eV per cell, total magnetization 0.0 μB/f.u.. Number 3: Fermi-level density of states 5.78 states/eV per cell, total magnetization 0.0 μB/f.u.. Number 4: Fermi-level density of states 13.67 states/eV per cell, total magnetization 0.0 μB/f.u.. Number 5: Fermi-level density of states 8.91 states/eV per cell, total magnetization 0.0 μB/f.u.. Number 6: Fermi-level density of states 15.04 states/eV per cell, total magnetization 0.9 μB/f.u.. Number 7: Fermi-level density of states 5.77 states/eV per cell, total magnetization 0.0 μB/f.u.. Number 8: Fermi-level density of states 0.59 states/eV per cell, total magnetization 0.0 μB/f.u.. Number 9: Fermi-level density of states 26.35 states/eV per cell, total magnetization 0.0 μB/f.u.. Number 10: Fermi-level density of states 11.11 states/eV per cell, total magnetization 0.0 μB/f.u.. Number 11: Fermi-level density of states 6.15 states/eV per cell, total magnetization 0.0 μB/f.u.. Number 12: Fermi-level density of states 6.09 states/eV per cell, total magnetization 0.7 μB/f.u.. Number 13: Fermi-level density of states 9.45 states/eV per cell, total magnetization 2.0 μB/f.u.. Number 14: Fermi-level density of states 6.73 states/eV per cell, total magnetization 3.3 μB/f.u.. Number 15: Fermi-level density of states 13.49 states/eV per cell, total magnetization 0.0 μB/f.u..